Below is an optimized crystal structure of Pm3Nd2Cd3, with properties calculated at the PBE level.

abc: 3.8524 5.4995 22.6639
angles: 90.00 90.00 90.00
Space group Immm (No. 71)
Unique sites:
Pm1 0.0000 0.0000 0.0000 x2
Pm2 0.0000 0.5000 0.1210 x4
Nd1 0.0000 0.0000 0.2335 x4
Cd1 0.0000 0.0000 0.5000 x2
Cd2 0.0000 0.5000 0.3836 x4

- formation enthalpy at 0 K (meV per atom) = -233.2
- N(E_F) (states/eV/cell) = 21.5
- DFT total energy (eV per atom) = -3.55

Below is an optimized crystal structure of Ho4TmIn5, with properties calculated at the PBE level.

abc: 3.7156 3.7156 18.9662
angles: 90.00 90.00 90.00
Space group P4/mmm (No. 123)
Unique sites:
Ho1 0.0000 0.0000 0.1006 x2
Ho2 0.0000 0.0000 0.3015 x2
Tm1 0.0000 0.0000 0.5000 x1
In1 0.5000 0.5000 0.0000 x1
In2 0.5000 0.5000 0.2010 x2
In3 0.5000 0.5000 0.4019 x2

- formation enthalpy at 0 K (meV per atom) = -447.5
- N(E_F) (states/eV/cell) = 5.8
- DFT total energy (eV per atom) = -4.10

Below is an optimized crystal structure of CoCuRh4, with properties calculated at the PBE level.

abc: 7.1579 7.1579 7.1579
angles: 90.00 90.00 90.00
Space group F-43m (No. 216)
Unique sites:
Co1 0.0000 0.0000 0.0000 x4
Cu1 0.2500 0.2500 0.7500 x4
Rh1 0.1250 0.1250 0.3750 x16

- formation enthalpy at 0 K (meV per atom) = 527.9
- N(E_F) (states/eV/cell) = 39.7
- DFT total energy (eV per atom) = -6.24

Below is an optimized crystal structure of NdTm2Sc8, with properties calculated at the PBE level.

abc: 8.7184 16.2009 5.4662
angles: 90.00 128.78 90.00
Space group C2/m (No. 12)
Unique sites:
Nd1 0.0000 0.0000 0.0000 x2
Tm1 0.0000 0.3106 0.5000 x4
Sc1 0.0000 0.2031 0.0000 x4
Sc2 0.0010 0.5000 0.7445 x4
Sc3 0.2293 0.1315 0.7289 x8

- formation enthalpy at 0 K (meV per atom) = 129.3
- N(E_F) (states/eV/cell) = 33.8
- DFT total energy (eV per atom) = -5.72

Below is an optimized crystal structure of Ce2BeGaAu6, with properties calculated at the PBE level.

abc: 6.3441 6.3832 7.0164
angles: 63.00 89.29 60.82
Space group P-1 (No. 2)
Unique sites:
Ce1 0.2347 0.0410 0.1694 x2
Be1 0.0000 0.5000 0.5000 x1
Ga1 0.5000 0.5000 0.0000 x1
Au1 0.2138 0.5848 0.6800 x2
Au2 0.2287 0.0260 0.7183 x2
Au3 0.3287 0.3995 0.3466 x2

- formation enthalpy at 0 K (meV per atom) = -408.2
- N(E_F) (states/eV/cell) = 17.6
- DFT total energy (eV per atom) = -4.24

Below is an optimized crystal structure of AlCr6C, with properties calculated at the PBE level.

abc: 4.2763 4.7857 4.8132
angles: 96.80 93.68 110.20
Space group P-1 (No. 2)
Unique sites:
Al1 0.0000 0.0000 0.0000 x1
Cr1 0.0739 0.2496 0.5694 x2
Cr2 0.2985 0.5890 0.1424 x2
Cr3 0.4264 0.8463 0.7089 x2
C1 0.5000 0.5000 0.5000 x1

- formation enthalpy at 0 K (meV per atom) = -2.9
- N(E_F) (states/eV/cell) = 6.1
- DFT total energy (eV per atom) = -8.84

Below is an optimized crystal structure of MnSb2P, with properties calculated at the PBE level.

abc: 4.7868 4.7868 7.5146
angles: 90.00 90.00 90.00
Space group I-4m2 (No. 119)
Unique sites:
Mn1 0.0000 0.0000 0.0000 x2
Sb1 0.0000 0.0000 0.5000 x2
Sb2 0.0000 0.5000 0.2500 x2
P1 0.0000 0.5000 0.7500 x2

- N(E_F) (states/eV/cell) = 6.8
- DFT total energy (eV per atom) = -5.16
- E_form (uncorrected) (eV/atom) = 0.545

Below is an optimized crystal structure of La2Cl, with properties calculated at the PBE level.

abc: 7.0953 7.0953 7.0953
angles: 90.00 90.00 90.00
Space group Fm-3m (No. 225)
Unique sites:
La1 0.2500 0.2500 0.2500 x8
Cl1 0.0000 0.0000 0.0000 x4

- N(E_F) (states/eV/cell) = 15.1
- DFT total energy (eV per atom) = -4.53
- E_form (uncorrected) (eV/atom) = -0.627

Below is an optimized crystal structure of Li2NdCdAu2, with properties calculated at the PBE level.

abc: 4.5885 4.5885 6.7095
angles: 90.00 90.00 120.00
Space group P-3m1 (No. 164)
Unique sites:
Li1 0.3333 0.6667 0.1654 x2
Nd1 0.0000 0.0000 0.5000 x1
Cd1 0.0000 0.0000 0.0000 x1
Au1 0.3333 0.6667 0.7611 x2

- formation enthalpy at 0 K (meV per atom) = -544.0
- N(E_F) (states/eV/cell) = 3.2
- DFT total energy (eV per atom) = -3.22

Below is an optimized crystal structure of MgMn2InTe, with properties calculated at the PBE level.

abc: 4.8600 4.8600 5.0649
angles: 90.00 90.00 90.00
Space group P4/mmm (No. 123)
Unique sites:
Mg1 0.0000 0.0000 0.0000 x1
Mn1 0.0000 0.5000 0.5000 x2
In1 0.0000 0.0000 0.5000 x1
Te1 0.5000 0.5000 0.0000 x1

- N(E_F) (states/eV/cell) = 7.8
- DFT total energy (eV per atom) = -3.73
- E_form (uncorrected) (eV/atom) = 1.429

Below is an optimized crystal structure of Zn2AsRh, with properties calculated at the PBE level.

abc: 3.0110 4.3848 4.5971
angles: 90.00 90.00 90.00
Space group Pmm2 (No. 25)
Unique sites:
Zn1 0.0000 0.0000 0.0000 x1
Zn2 0.0000 0.5000 0.3151 x1
As1 0.5000 0.5000 0.7942 x1
Rh1 0.5000 0.0000 0.4998 x1

- formation enthalpy at 0 K (meV per atom) = -172.2
- N(E_F) (states/eV/cell) = 1.2
- DFT total energy (eV per atom) = -3.81

Below is an optimized crystal structure of AcNiAs2Rh, with properties calculated at the PBE level.

abc: 4.2956 4.2956 10.6512
angles: 90.00 90.00 90.00
Space group I-4m2 (No. 119)
Unique sites:
Ac1 0.0000 0.0000 0.0000 x2
Ni1 0.0000 0.5000 0.7500 x2
As1 0.0000 0.0000 0.3628 x4
Rh1 0.0000 0.5000 0.2500 x2

- formation enthalpy at 0 K (meV per atom) = -792.3
- N(E_F) (states/eV/cell) = 10.2
- DFT total energy (eV per atom) = -6.10

Below is an optimized crystal structure of K2InBr, with properties calculated at the PBE level.

abc: 4.1694 7.4458 11.3415
angles: 90.00 90.00 90.00
Space group Immm (No. 71)
Unique sites:
K1 0.0000 0.0000 0.2088 x4
In1 0.0000 0.5000 0.0000 x2
Br1 0.0000 0.5000 0.5000 x2

- N(E_F) (states/eV/cell) = 4.0
- DFT total energy (eV per atom) = -2.20
- E_form (uncorrected) (eV/atom) = -0.547

Below is an optimized crystal structure of Sr3CaRh, with properties calculated at the PBE level.

abc: 8.3051 11.8338 8.3059
angles: 90.00 90.00 90.00
Space group Cmme (No. 67)
Unique sites:
Sr1 0.0000 0.0044 0.2432 x8
Sr2 0.2500 0.2500 0.5000 x4
Ca1 0.2500 0.2500 0.0000 x4
Rh1 0.0000 0.2500 0.2358 x4

- formation enthalpy at 0 K (meV per atom) = -196.1
- N(E_F) (states/eV/cell) = 18.4
- DFT total energy (eV per atom) = -3.08

Below is an optimized crystal structure of BaHfRh2Au, with properties calculated at the PBE level.

abc: 5.1969 5.1969 4.8991
angles: 90.00 90.00 90.00
Space group P4/mmm (No. 123)
Unique sites:
Ba1 0.0000 0.0000 0.0000 x1
Hf1 0.5000 0.5000 0.0000 x1
Rh1 0.0000 0.5000 0.5000 x2
Au1 0.5000 0.5000 0.5000 x1

- formation enthalpy at 0 K (meV per atom) = 660.7
- N(E_F) (states/eV/cell) = 6.8
- DFT total energy (eV per atom) = -5.31

Below is an optimized crystal structure of AcHgAu2, with properties calculated at the PBE level.

abc: 3.8972 3.8972 6.8213
angles: 90.00 90.00 90.00
Space group P4/mmm (No. 123)
Unique sites:
Ac1 0.0000 0.0000 0.0000 x1
Hg1 0.0000 0.0000 0.5000 x1
Au1 0.5000 0.5000 0.2686 x2

- formation enthalpy at 0 K (meV per atom) = -494.5
- N(E_F) (states/eV/cell) = 1.8
- DFT total energy (eV per atom) = -3.24

Below is an optimized crystal structure of Tb6Y3Zr, with properties calculated at the PBE level.

abc: 4.9172 11.4642 11.4648
angles: 90.00 90.04 90.00
Space group P2_1/c (No. 14)
Unique sites:
Tb1 0.9995 0.0067 0.2149 x4
Tb2 0.0001 0.2147 0.9933 x4
Tb3 0.4998 0.1435 0.3567 x4
Y1 0.5000 0.0000 0.0000 x2
Y2 0.5005 0.1515 0.6513 x4
Zr1 0.0000 0.0000 0.5000 x2

- formation enthalpy at 0 K (meV per atom) = 205.5
- N(E_F) (states/eV/cell) = 32.4
- DFT total energy (eV per atom) = -5.37

Below is an optimized crystal structure of Hf3FeSb, with properties calculated at the PBE level.

abc: 6.8634 13.2154 4.6444
angles: 90.00 90.00 90.00
Space group Cmmm (No. 65)
Unique sites:
Hf1 0.0000 0.1258 0.0000 x4
Hf2 0.2049 0.5000 0.5000 x4
Hf3 0.2500 0.2500 0.5000 x4
Fe1 0.0000 0.1018 0.5000 x4
Sb1 0.0000 0.3583 0.0000 x4

- N(E_F) (states/eV/cell) = 16.6
- DFT total energy (eV per atom) = -8.60
- E_form (uncorrected) (eV/atom) = -0.111

Below is an optimized crystal structure of NaTlBOs2, with properties calculated at the PBE level.

abc: 4.7190 4.7190 4.0936
angles: 90.00 90.00 90.00
Space group P4/mmm (No. 123)
Unique sites:
Na1 0.0000 0.0000 0.0000 x1
Tl1 0.5000 0.5000 0.5000 x1
B1 0.0000 0.0000 0.5000 x1
Os1 0.0000 0.5000 0.0000 x2

- formation enthalpy at 0 K (meV per atom) = 2905.1
- N(E_F) (states/eV/cell) = 6.0
- DFT total energy (eV per atom) = -3.66

Below is an optimized crystal structure of YZnHRh2, with properties calculated at the PBE level.

abc: 4.1350 4.1350 4.1154
angles: 90.00 90.00 90.00
Space group P4/mmm (No. 123)
Unique sites:
Y1 0.0000 0.0000 0.0000 x1
Zn1 0.5000 0.5000 0.0000 x1
H1 0.0000 0.0000 0.5000 x1
Rh1 0.0000 0.5000 0.5000 x2

- N(E_F) (states/eV/cell) = 1.8
- DFT total energy (eV per atom) = -5.62